a:
5
Lattice="3.854 0.000 0.000 0.000 3.854 0.000 0.000 0.000 5.474" Properties=species:S:1:pos:R:3 comment="CrWIN2, optimized geometry, DFT PBE-GGA" density_g_cm3=7.981 space_group=P4/mmm pbc="T T T"
Cr 0.000 0.000 0.000
W 1.927 1.927 2.737
I 0.000 0.000 2.737
N 0.000 1.927 0.000
N 1.927 0.000 0.000

---

b:
5
Lattice="3.961 0.000 0.000 0.000 3.961 0.000 0.000 0.000 5.853" Properties=species:S:1:pos:R:3 comment="CrWIN2, optimized geometry, DFT PBE-GGA" density_g_cm3=7.067 space_group=P4/mmm pbc="T T T"
Cr 0.000 0.000 0.000
W 1.980 1.980 2.926
I 1.980 1.980 0.000
N 0.000 1.980 2.926
N 1.980 0.000 2.926

---

It is b that is most stable; the runner-up trails by 0.880 eV/atom.

---

a:
5
Lattice="3.994 0.000 0.000 0.000 3.994 0.000 0.000 0.000 5.109" Properties=species:S:1:pos:R:3 comment="YCrIN2, optimized geometry, DFT PBE-GGA" density_g_cm3=6.027 space_group=P4/mmm pbc="T T T"
Y 0.000 0.000 0.000
Cr 1.997 1.997 2.555
I 1.997 1.997 0.000
N 0.000 1.997 2.555
N 1.997 0.000 2.555

---

b:
5
Lattice="4.349 0.000 0.000 0.000 4.349 0.000 0.000 0.000 6.338" Properties=species:S:1:pos:R:3 comment="YCrIN2, optimized geometry, DFT PBE-GGA" density_g_cm3=4.097 space_group=P4/mmm pbc="T T T"
Y 0.000 0.000 0.000
Cr 2.175 2.175 3.169
I 0.000 0.000 3.169
N 0.000 2.175 0.000
N 2.175 0.000 0.000

---

It is a that is most stable; the runner-up trails by 0.527 eV/atom.

---

a:
5
Lattice="5.620 0.000 0.000 0.000 5.620 0.000 0.000 0.000 3.652" Properties=species:S:1:pos:R:3 comment="ZnCrI2N, optimized geometry, DFT PBE-GGA" density_g_cm3=5.545 space_group=P4/mmm pbc="T T T"
Zn 0.000 0.000 0.000
Cr 2.810 2.810 1.826
I 0.000 2.810 1.826
I 2.810 0.000 1.826
N 2.810 2.810 0.000

---

b:
5
Lattice="5.676 0.000 0.000 0.000 5.676 0.000 0.000 0.000 3.673" Properties=species:S:1:pos:R:3 comment="ZnCrI2N, optimized geometry, DFT PBE-GGA" density_g_cm3=5.406 space_group=P4/mmm pbc="T T T"
Zn 0.000 0.000 0.000
Cr 2.838 2.838 1.837
I 0.000 2.838 0.000
I 2.838 0.000 0.000
N 0.000 0.000 1.837

---

It is a that is most stable; the runner-up trails by 1.196 eV/atom.

---

a:
5
Lattice="5.954 0.000 0.000 0.000 5.954 0.000 0.000 0.000 4.016" Properties=species:S:1:pos:R:3 comment="ZrCrI2N, optimized geometry, DFT PBE-GGA" density_g_cm3=4.795 space_group=P4/mmm pbc="T T T"
Zr 0.000 0.000 0.000
Cr 2.977 2.977 2.008
I 0.000 2.977 0.000
I 2.977 0.000 0.000
N 0.000 0.000 2.008

---

b:
5
Lattice="5.446 0.000 0.000 0.000 5.446 0.000 0.000 0.000 3.566" Properties=species:S:1:pos:R:3 comment="ZrCrI2N, optimized geometry, DFT PBE-GGA" density_g_cm3=6.453 space_group=P4/mmm pbc="T T T"
Zr 0.000 0.000 0.000
Cr 2.723 2.723 1.783
I 0.000 2.723 1.783
I 2.723 0.000 1.783
N 2.723 2.723 0.000

---

It is a that is most stable; the runner-up trails by 0.241 eV/atom.

---

a:
5
Lattice="3.909 0.000 0.000 0.000 3.909 0.000 0.000 0.000 5.099" Properties=species:S:1:pos:R:3 comment="ZrCrIN2, optimized geometry, DFT PBE-GGA" density_g_cm3=6.354 space_group=P4/mmm pbc="T T T"
Zr 0.000 0.000 0.000
Cr 1.954 1.954 2.550
I 1.954 1.954 0.000
N 0.000 1.954 2.550
N 1.954 0.000 2.550

---

b:
5
Lattice="4.178 0.000 0.000 0.000 4.178 0.000 0.000 0.000 6.130" Properties=species:S:1:pos:R:3 comment="ZrCrIN2, optimized geometry, DFT PBE-GGA" density_g_cm3=4.626 space_group=P4/mmm pbc="T T T"
Zr 0.000 0.000 0.000
Cr 2.089 2.089 3.065
I 0.000 0.000 3.065
N 0.000 2.089 0.000
N 2.089 0.000 0.000

---

It is b that is most stable; the runner-up trails by 0.205 eV/atom.

---

a:
16
Lattice="3.935 0.000 0.000 0.000 3.935 0.000 0.000 0.000 20.152" Properties=species:S:1:pos:R:3 comment="NaCr2I, optimized geometry, DFT PBE-GGA" density_g_cm3=5.405 space_group=I-42d pbc="T T T"
Na 0.000 0.000 0.000
Na 0.000 1.967 5.038
Na 1.967 0.000 15.114
Na 1.967 1.967 10.076
Cr 0.613 0.984 12.595
Cr 0.984 2.580 17.633
Cr 0.984 3.322 7.557
Cr 1.355 0.984 2.519
Cr 2.580 2.951 2.519
Cr 2.951 0.613 7.557
Cr 2.951 1.355 17.633
Cr 3.322 2.951 12.595
I 0.000 0.000 10.076
I 0.000 1.967 15.114
I 1.967 0.000 5.038
I 1.967 1.967 0.000

---

b:
16
Lattice="7.378 0.000 0.000 0.000 7.378 0.000 0.000 0.000 7.378" Properties=species:S:1:pos:R:3 comment="NaCr2I, optimized geometry, DFT PBE-GGA" density_g_cm3=4.199 space_group=Fm-3m pbc="T T T"
Na 0.000 0.000 0.000
Na 0.000 3.689 3.689
Na 3.689 0.000 3.689
Na 3.689 3.689 0.000
Cr 1.844 1.844 1.844
Cr 1.844 1.844 5.533
Cr 1.844 5.533 1.844
Cr 1.844 5.533 5.533
Cr 5.533 1.844 1.844
Cr 5.533 1.844 5.533
Cr 5.533 5.533 1.844
Cr 5.533 5.533 5.533
I 0.000 0.000 3.689
I 0.000 3.689 0.000
I 3.689 0.000 0.000
I 3.689 3.689 3.689

---

It is b that is most stable; the runner-up trails by 0.159 eV/atom.

---

a:
10
Lattice="5.365 0.000 0.000 0.000 5.365 0.000 0.000 0.000 9.208" Properties=species:S:1:pos:R:3 comment="NaCr2I2, optimized geometry, DFT PBE-GGA" density_g_cm3=4.772 space_group=I4/mmm pbc="T T T"
Na 0.000 0.000 0.000
Na 2.682 2.682 4.604
Cr 0.000 0.000 3.740
Cr 0.000 0.000 5.468
Cr 2.682 2.682 0.864
Cr 2.682 2.682 8.344
I 0.000 2.682 2.302
I 0.000 2.682 6.906
I 2.682 0.000 2.302
I 2.682 0.000 6.906

---

b:
10
Lattice="8.066 0.000 0.000 0.000 8.066 0.000 0.000 0.000 4.711" Properties=species:S:1:pos:R:3 comment="NaCr2I2, optimized geometry, DFT PBE-GGA" density_g_cm3=4.126 space_group=P4/mbm pbc="T T T"
Na 0.000 0.000 0.000
Na 4.033 4.033 0.000
Cr 0.616 3.417 0.000
Cr 3.417 7.450 0.000
Cr 4.649 0.616 0.000
Cr 7.450 4.649 0.000
I 1.430 2.603 2.356
I 2.603 6.636 2.356
I 5.463 1.430 2.356
I 6.636 5.463 2.356

---

It is b that is most stable; the runner-up trails by 0.022 eV/atom.

---

a:
12
Lattice="16.436 0.000 0.000 0.000 4.142 0.000 -3.076 0.000 7.236" Properties=species:S:1:pos:R:3 comment="NaCrI4, optimized geometry, DFT PBE-GGA" density_g_cm3=3.928 space_group=C2/m pbc="T T T"
Na 0.000 0.000 0.000
Na 8.218 2.071 0.000
Cr -1.538 2.071 3.618
Cr 6.680 0.000 3.618
I -0.513 0.000 5.190
I 0.813 2.071 2.218
I 4.329 0.000 5.018
I 5.655 2.071 2.046
I 7.705 2.071 5.190
I 9.031 0.000 2.218
I 12.547 2.071 5.018
I 13.873 0.000 2.046

---

b:
12
Lattice="4.395 -9.031 0.000 4.395 9.031 0.000 -3.700 0.000 6.142" Properties=species:S:1:pos:R:3 comment="NaCrI4, optimized geometry, DFT PBE-GGA" density_g_cm3=3.969 space_group=C2/c pbc="T T T"
Na 1.621 7.671 4.606
Na 3.470 -7.671 1.535
Cr 3.470 1.100 1.535
Cr 1.621 -1.100 4.606
I 1.601 3.020 1.521
I -0.338 0.915 4.908
I 1.512 -0.915 1.837
I -0.248 -3.020 4.592
I 5.339 3.020 1.550
I 3.579 0.915 4.304
I 5.429 -0.915 1.234
I 3.490 -3.020 4.620

---

It is a that is most stable; the runner-up trails by 0.023 eV/atom.

---

a:
10
Lattice="8.720 0.000 0.000 0.000 8.720 0.000 0.000 0.000 4.174" Properties=species:S:1:pos:R:3 comment="Na2CrI2, optimized geometry, DFT PBE-GGA" density_g_cm3=3.681 space_group=P4/mbm pbc="T T T"
Na 1.308 3.052 0.000
Na 3.052 7.412 0.000
Na 5.668 1.308 0.000
Na 7.412 5.668 0.000
Cr 0.000 0.000 2.087
Cr 4.360 4.360 2.087
I 1.398 5.758 2.087
I 2.962 1.398 2.087
I 5.758 7.322 2.087
I 7.322 2.962 2.087

---

b:
10
Lattice="5.540 0.000 0.000 0.000 5.540 0.000 0.000 0.000 13.741" Properties=species:S:1:pos:R:3 comment="Na2CrI2, optimized geometry, DFT PBE-GGA" density_g_cm3=2.770 space_group=I4/mmm pbc="T T T"
Na 0.000 2.770 3.435
Na 0.000 2.770 10.306
Na 2.770 0.000 3.435
Na 2.770 0.000 10.306
Cr 0.000 0.000 0.000
Cr 2.770 2.770 6.870
I 0.000 0.000 4.804
I 0.000 0.000 8.937
I 2.770 2.770 2.067
I 2.770 2.770 11.674

---

It is a that is most stable; the runner-up trails by 0.092 eV/atom.

---

a:
10
Lattice="4.604 0.000 0.000 0.000 4.604 0.000 0.000 0.000 13.200" Properties=species:S:1:pos:R:3 comment="Na2Cr2I, optimized geometry, DFT PBE-GGA" density_g_cm3=3.286 space_group=I4/mmm pbc="T T T"
Na 0.000 2.302 3.300
Na 0.000 2.302 9.900
Na 2.302 0.000 3.300
Na 2.302 0.000 9.900
Cr 0.000 0.000 0.850
Cr 0.000 0.000 12.350
Cr 2.302 2.302 5.750
Cr 2.302 2.302 7.450
I 0.000 0.000 6.600
I 2.302 2.302 0.000

---

b:
10
Lattice="8.347 0.000 0.000 0.000 8.347 0.000 0.000 0.000 3.702" Properties=species:S:1:pos:R:3 comment="Na2Cr2I, optimized geometry, DFT PBE-GGA" density_g_cm3=3.565 space_group=P4/mbm pbc="T T T"
Na 1.723 2.451 0.000
Na 2.451 6.625 0.000
Na 5.896 1.723 0.000
Na 6.625 5.896 0.000
Cr 0.613 4.786 1.851
Cr 3.561 0.613 1.851
Cr 4.786 7.735 1.851
Cr 7.735 3.561 1.851
I 0.000 0.000 1.851
I 4.174 4.174 1.851

---

It is b that is most stable; the runner-up trails by 0.278 eV/atom.

---

a:
5
Lattice="5.388 0.000 0.000 0.000 5.388 0.000 0.000 0.000 5.574" Properties=species:S:1:pos:R:3 comment="NaCrSb2I, optimized geometry, DFT PBE-GGA" density_g_cm3=4.572 space_group=P4/mmm pbc="T T T"
Na 0.000 0.000 0.000
Cr 2.694 2.694 2.787
Sb 0.000 2.694 0.000
Sb 2.694 0.000 0.000
I 0.000 0.000 2.787

---

b:
5
Lattice="5.043 0.000 0.000 0.000 5.043 0.000 0.000 0.000 6.334" Properties=species:S:1:pos:R:3 comment="NaCrSb2I, optimized geometry, DFT PBE-GGA" density_g_cm3=4.592 space_group=P4/mmm pbc="T T T"
Na 0.000 0.000 0.000
Cr 2.521 2.521 3.167
Sb 0.000 2.521 3.167
Sb 2.521 0.000 3.167
I 2.521 2.521 0.000

---

It is b that is most stable; the runner-up trails by 1.462 eV/atom.

---

a:
5
Lattice="5.710 0.000 0.000 0.000 5.710 0.000 0.000 0.000 5.710" Properties=species:S:1:pos:R:3 comment="NbCrI3, optimized geometry, DFT PBE-GGA" density_g_cm3=4.687 space_group=Pm-3m pbc="T T T"
Nb 0.000 0.000 0.000
Cr 2.855 2.855 2.855
I 0.000 0.000 2.855
I 0.000 2.855 0.000
I 2.855 0.000 0.000

---

b:
5
Lattice="5.515 0.000 0.000 0.000 5.515 0.000 0.000 0.000 5.515" Properties=species:S:1:pos:R:3 comment="NbCrI3, optimized geometry, DFT PBE-GGA" density_g_cm3=5.204 space_group=Pm-3m pbc="T T T"
Nb 0.000 0.000 0.000
Cr 2.757 2.757 2.757
I 0.000 2.757 2.757
I 2.757 0.000 2.757
I 2.757 2.757 0.000

---

It is a that is most stable; the runner-up trails by 0.215 eV/atom.